12
Lattice="4.383 0.000 0.000 -2.191 3.796 0.000 0.000 0.000 21.928" Properties=species:S:1:pos:R:3 comment="NaPmTeSe PBE optimized geometry" e_form_raw_ev_per_atom=-1.5008 total_magnetization_mub_per_fu=0.0 energy_ev_per_atom=-4.675 pbc="T T T"
Na 0.000 0.000 0.000
Na 0.000 2.530 14.618
Na 2.191 1.265 7.309
Pm 0.000 0.000 10.722
Pm 0.000 2.530 3.413
Pm 2.191 1.265 18.031
Te 0.000 0.000 5.301
Te 0.000 2.530 19.919
Te 2.191 1.265 12.610
Se 0.000 0.000 16.474
Se 0.000 2.530 9.165
Se 2.191 1.265 1.856

---

8
Lattice="7.287 0.000 0.000 0.000 4.206 0.000 -2.415 0.000 7.105" Properties=species:S:1:pos:R:3 comment="Na2PmThSe4 PBE optimized geometry" e_form_raw_ev_per_atom=-1.5842 total_magnetization_mub_per_fu=0.0 energy_ev_per_atom=-5.178 pbc="T T T"
Na 0.000 0.000 0.000
Na 3.643 2.103 0.000
Pm -1.207 2.103 3.552
Th 2.436 0.000 3.552
Se 0.031 0.000 5.252
Se 1.230 2.103 1.840
Se 3.642 2.103 5.265
Se 4.841 0.000 1.852

---

12
Lattice="9.322 -2.111 0.000 9.322 2.111 0.000 -2.152 0.000 8.317" Properties=species:S:1:pos:R:3 comment="Na3Pm2ThSe6 PBE optimized geometry" e_form_raw_ev_per_atom=-1.6209 total_magnetization_mub_per_fu=0.0 energy_ev_per_atom=-5.103 pbc="T T T"
Na 0.000 0.000 0.000
Na 4.742 0.000 5.553
Na 11.750 0.000 2.764
Pm 5.829 0.000 1.345
Pm 10.664 0.000 6.972
Th -1.076 0.000 4.159
Se 1.761 0.000 4.894
Se 2.972 0.000 0.649
Se 8.731 0.000 2.140
Se 7.762 0.000 6.178
Se 13.521 0.000 7.668
Se 14.732 0.000 3.423

---

12
Lattice="3.629 -6.285 0.000 3.629 6.285 0.000 -2.419 0.000 7.151" Properties=species:S:1:pos:R:3 comment="Na3PmTh2Se6 PBE optimized geometry" e_form_raw_ev_per_atom=-1.5494 total_magnetization_mub_per_fu=0.0 energy_ev_per_atom=-5.254 pbc="T T T"
Na 0.000 0.000 0.000
Na 3.629 2.081 0.000
Na 3.629 -2.081 0.000
Pm 2.420 0.000 3.576
Th 2.420 4.190 3.576
Th 2.420 -4.190 3.576
Se 1.198 2.116 1.848
Se -0.023 0.000 5.306
Se 1.198 -2.116 1.848
Se 3.642 2.116 5.304
Se 4.863 0.000 1.845
Se 3.642 -2.116 5.304

---

16
Lattice="4.137 2.389 7.047 -4.137 2.389 7.047 0.000 -4.777 7.047" Properties=species:S:1:pos:R:3 comment="NaPm3Th4Se8 PBE optimized geometry" e_form_raw_ev_per_atom=-1.6332 total_magnetization_mub_per_fu=0.0 energy_ev_per_atom=-6.204 pbc="T T T"
Na 0.000 0.000 0.000
Pm -2.069 -1.194 7.047
Pm -2.069 1.194 14.094
Pm 0.000 2.389 7.047
Th -4.137 0.000 10.570
Th -2.069 1.194 3.523
Th 2.069 1.194 3.523
Th 0.000 0.000 10.570
Se 0.000 -2.427 8.760
Se -2.102 1.214 8.760
Se -2.102 -1.214 12.380
Se 0.000 0.000 5.312
Se 0.000 0.000 15.829
Se 2.102 1.214 8.760
Se 2.102 -1.214 12.380
Se 0.000 2.427 12.380

---

16
Lattice="4.198 2.423 6.853 -4.198 2.423 6.853 0.000 -4.847 6.853" Properties=species:S:1:pos:R:3 comment="NaPm4Th3Se8 PBE optimized geometry" e_form_raw_ev_per_atom=-1.6775 total_magnetization_mub_per_fu=0.0 energy_ev_per_atom=-6.081 pbc="T T T"
Na 0.000 0.000 0.000
Pm -4.198 0.000 10.279
Pm -2.099 1.212 3.426
Pm 2.099 1.212 3.426
Pm 0.000 0.000 10.279
Th -2.099 -1.212 6.853
Th -2.099 1.212 13.706
Th 0.000 2.423 6.853
Se -2.129 -1.229 12.009
Se 0.000 -2.458 8.550
Se -2.129 1.229 8.550
Se 0.000 0.000 5.116
Se 0.000 0.000 15.443
Se 2.129 -1.229 12.009
Se 0.000 2.458 12.009
Se 2.129 1.229 8.550

---

12
Lattice="9.211 -2.082 0.000 9.211 2.082 0.000 -2.193 0.000 8.193" Properties=species:S:1:pos:R:3 comment="NaPm2Th3Se6 PBE optimized geometry" e_form_raw_ev_per_atom=-1.6163 total_magnetization_mub_per_fu=0.0 energy_ev_per_atom=-6.115 pbc="T T T"
Na 0.000 0.000 0.000
Pm 4.621 0.000 5.450
Pm 11.608 0.000 2.743
Th -1.097 0.000 4.097
Th 5.734 0.000 1.377
Th 10.496 0.000 6.816
Se 2.806 0.000 0.655
Se 1.787 0.000 4.738
Se 8.675 0.000 2.016
Se 7.554 0.000 6.177
Se 14.442 0.000 3.455
Se 13.424 0.000 7.538

---

12
Lattice="9.168 -2.090 0.000 9.168 2.090 0.000 -1.987 0.000 8.211" Properties=species:S:1:pos:R:3 comment="NaPm3Th2Se6 PBE optimized geometry" e_form_raw_ev_per_atom=-1.6896 total_magnetization_mub_per_fu=0.0 energy_ev_per_atom=-5.966 pbc="T T T"
Na 0.000 0.000 0.000
Pm -0.994 0.000 4.106
Pm 5.778 0.000 1.396
Pm 10.571 0.000 6.815
Th 4.734 0.000 5.389
Th 11.614 0.000 2.822
Se 1.819 0.000 4.830
Se 2.859 0.000 0.695
Se 7.623 0.000 6.157
Se 8.726 0.000 2.054
Se 13.489 0.000 7.516
Se 14.530 0.000 3.381

---

15
Lattice="4.211 2.431 7.107 -4.211 2.431 7.107 0.000 -4.862 7.107" Properties=species:S:1:pos:R:3 comment="Na3PmTh3Se8 PBE optimized geometry" e_form_raw_ev_per_atom=-1.5687 total_magnetization_mub_per_fu=0.0 energy_ev_per_atom=-5.492 pbc="T T T"
Na -2.105 -1.216 7.107
Na -2.105 1.216 14.213
Na 0.000 2.431 7.107
Pm 0.000 0.000 10.660
Th -4.211 0.000 10.660
Th -2.105 1.216 3.553
Th 2.105 1.216 3.553
Se -2.122 -1.225 12.338
Se 0.000 0.000 5.285
Se 0.000 -2.450 8.982
Se -2.122 1.225 8.982
Se 2.122 -1.225 12.338
Se 0.000 2.450 12.338
Se 0.000 0.000 16.035
Se 2.122 1.225 8.982

---

8
Lattice="7.257 0.000 0.000 0.000 4.176 0.000 -2.370 0.000 6.915" Properties=species:S:1:pos:R:3 comment="NaPm2ThSe4 PBE optimized geometry" e_form_raw_ev_per_atom=-1.6776 total_magnetization_mub_per_fu=0.0 energy_ev_per_atom=-5.700 pbc="T T T"
Na 0.000 0.000 0.000
Pm 2.444 0.000 3.458
Pm 3.629 2.088 0.000
Th -1.185 2.088 3.458
Se 0.006 0.000 5.216
Se 1.212 2.088 1.728
Se 3.676 2.088 5.187
Se 4.882 0.000 1.699

---

8
Lattice="7.191 0.000 0.000 0.000 4.143 0.000 -2.363 0.000 7.033" Properties=species:S:1:pos:R:3 comment="NaPmTh2Se4 PBE optimized geometry" e_form_raw_ev_per_atom=-1.5793 total_magnetization_mub_per_fu=0.0 energy_ev_per_atom=-5.935 pbc="T T T"
Na 0.000 0.000 0.000
Pm 3.595 2.071 0.000
Th -1.181 2.071 3.517
Th 2.414 0.000 3.517
Se 1.186 2.071 1.723
Se -0.015 0.000 5.320
Se 4.844 0.000 1.713
Se 3.643 2.071 5.311

---

8
Lattice="7.234 0.000 0.000 0.000 4.176 0.000 -2.408 0.000 7.010" Properties=species:S:1:pos:R:3 comment="Na2PmTmSe4 PBE optimized geometry" e_form_raw_ev_per_atom=-1.6910 total_magnetization_mub_per_fu=0.0 energy_ev_per_atom=-4.916 pbc="T T T"
Na 0.000 0.000 0.000
Na 3.617 2.088 0.000
Pm -1.204 2.088 3.505
Tm 2.413 0.000 3.505
Se 0.064 0.000 5.136
Se 1.266 2.088 1.903
Se 3.560 2.088 5.107
Se 4.762 0.000 1.874

---

16
Lattice="4.136 2.388 7.007 -4.136 2.388 7.007 0.000 -4.776 7.007" Properties=species:S:1:pos:R:3 comment="Na4PmTm3Se8 PBE optimized geometry" e_form_raw_ev_per_atom=-1.6942 total_magnetization_mub_per_fu=0.0 energy_ev_per_atom=-4.902 pbc="T T T"
Na 0.000 0.000 0.000
Na -2.068 -1.194 7.007
Na -2.068 1.194 14.015
Na 0.000 2.388 7.007
Pm 0.000 0.000 10.511
Tm -4.136 0.000 10.511
Tm -2.068 1.194 3.504
Tm 2.068 1.194 3.504
Se -2.119 -1.224 12.120
Se 0.000 0.000 5.085
Se 0.000 -2.447 8.902
Se -2.119 1.224 8.902
Se 2.119 -1.224 12.120
Se 0.000 2.447 12.120
Se 0.000 0.000 15.938
Se 2.119 1.224 8.902

---

16
Lattice="4.098 2.366 6.814 -4.098 2.366 6.814 0.000 -4.732 6.814" Properties=species:S:1:pos:R:3 comment="NaPm4Tm3Se8 PBE optimized geometry" e_form_raw_ev_per_atom=-1.7439 total_magnetization_mub_per_fu=0.0 energy_ev_per_atom=-5.595 pbc="T T T"
Na 0.000 0.000 0.000
Pm -4.098 0.000 10.220
Pm -2.049 1.183 3.407
Pm 2.049 1.183 3.407
Pm 0.000 0.000 10.220
Tm -2.049 -1.183 6.814
Tm -2.049 1.183 13.627
Tm 0.000 2.366 6.813
Se 0.000 -2.349 8.414
Se -2.035 1.175 8.414
Se 0.000 0.000 5.223
Se -2.035 -1.175 12.026
Se 2.035 1.175 8.414
Se 0.000 0.000 15.217
Se 2.035 -1.175 12.026
Se 0.000 2.349 12.026

---

12
Lattice="3.638 -6.303 0.000 3.638 6.303 0.000 -2.429 0.000 7.015" Properties=species:S:1:pos:R:3 comment="Na3Pm2TmSe6 PBE optimized geometry" e_form_raw_ev_per_atom=-1.6920 total_magnetization_mub_per_fu=0.0 energy_ev_per_atom=-4.928 pbc="T T T"
Na 0.000 0.000 0.000
Na 3.638 2.114 0.000
Na 3.638 -2.114 0.000
Pm 2.424 4.205 3.507
Pm 2.424 -4.205 3.507
Tm 2.424 0.000 3.507
Se 1.246 2.043 1.879
Se 0.068 0.000 5.130
Se 1.246 -2.043 1.879
Se 3.603 2.043 5.136
Se 4.781 0.000 1.885
Se 3.603 -2.043 5.136

---

12
Lattice="3.549 -6.157 0.000 3.549 6.157 0.000 -2.374 0.000 6.841" Properties=species:S:1:pos:R:3 comment="NaPm3Tm2Se6 PBE optimized geometry" e_form_raw_ev_per_atom=-1.7460 total_magnetization_mub_per_fu=0.0 energy_ev_per_atom=-5.531 pbc="T T T"
Na 0.000 0.000 0.000
Pm 2.362 4.171 3.420
Pm 2.362 0.000 3.420
Pm 2.362 -4.171 3.420
Tm 3.549 2.041 0.000
Tm 3.549 -2.041 0.000
Se 1.195 2.083 1.631
Se 0.013 0.000 5.259
Se 1.195 -2.083 1.631
Se 3.528 2.083 5.210
Se 4.711 0.000 1.582
Se 3.528 -2.083 5.210

---

8
Lattice="7.125 0.000 0.000 0.000 4.060 0.000 -2.310 0.000 6.783" Properties=species:S:1:pos:R:3 comment="NaPmTm2Se4 PBE optimized geometry" e_form_raw_ev_per_atom=-1.7201 total_magnetization_mub_per_fu=0.0 energy_ev_per_atom=-5.339 pbc="T T T"
Na 0.000 0.000 0.000
Pm 3.563 2.030 0.000
Tm -1.155 2.030 3.392
Tm 2.408 0.000 3.392
Se 0.020 0.000 5.001
Se 1.197 2.030 1.790
Se 3.618 2.030 4.993
Se 4.795 0.000 1.782

---

8
Lattice="7.183 0.000 0.000 0.000 4.123 0.000 -2.345 0.000 6.815" Properties=species:S:1:pos:R:3 comment="NaPm2TmSe4 PBE optimized geometry" e_form_raw_ev_per_atom=-1.7330 total_magnetization_mub_per_fu=0.0 energy_ev_per_atom=-5.387 pbc="T T T"
Na 0.000 0.000 0.000
Pm -1.173 2.062 3.407
Pm 2.419 0.000 3.407
Tm 3.592 2.062 0.000
Se 1.253 2.062 1.655
Se 0.061 0.000 5.204
Se 4.777 0.000 1.611
Se 3.585 2.062 5.160

---

8
Lattice="7.281 0.000 0.000 0.000 4.204 0.000 -2.428 0.000 7.033" Properties=species:S:1:pos:R:3 comment="Na2PmUSe4 PBE optimized geometry" e_form_raw_ev_per_atom=-1.4210 total_magnetization_mub_per_fu=3.0 energy_ev_per_atom=-5.498 pbc="T T T"
Na 0.000 0.000 0.000
Na 3.640 2.102 0.000
Pm -1.214 2.102 3.517
U 2.426 0.000 3.517
Se 0.031 0.000 5.178
Se 1.245 2.102 1.872
Se 3.607 2.102 5.161
Se 4.822 0.000 1.856

---

11
Lattice="3.677 -6.307 0.000 3.677 6.307 0.000 -2.442 0.000 7.023" Properties=species:S:1:pos:R:3 comment="Na2Pm2USe6 PBE optimized geometry" e_form_raw_ev_per_atom=-1.5220 total_magnetization_mub_per_fu=2.0 energy_ev_per_atom=-5.552 pbc="T T T"
Na 3.677 4.165 0.000
Na 3.677 -4.165 0.000
Pm 2.455 2.093 3.511
Pm 2.455 -2.093 3.511
U -1.221 0.000 3.511
Se -0.036 2.051 5.115
Se 1.121 0.000 1.915
Se -0.036 -2.051 5.115
Se 4.946 2.051 1.908
Se 3.790 0.000 5.107
Se 4.946 -2.051 1.908